Entry 1:
MoW2F PBE with a Hubbard U relaxed; N(E_F) = 2.54 states/eV per cell; E_tot = -0.172 hartree per atom; excess energy over the best structure of this formula in the dataset = 0.00 eV per formula unit; space-group type = I-42d (122)
1.0
-3.3226 3.3226 2.8527
3.3226 -3.3226 2.8527
3.3226 3.3226 -2.8527
Mo W F
2 4 2
Cartesian
0.0000 0.0000 0.0000 Mo
0.0000 3.3226 1.4264 Mo
1.6613 -1.3491 2.1395 W
1.9735 1.6613 0.7132 W
1.6613 4.6717 -0.7132 W
1.3491 1.6613 3.5659 W
3.3226 0.0000 1.4264 F
0.0000 0.0000 2.8527 F

---

Entry 2:
MoWF3 PBE with a Hubbard U relaxed; N(E_F) = 0.92 states/eV per cell; E_tot = -0.188 hartree per atom; excess energy over the best structure of this formula in the dataset = 0.00 eV per formula unit; space-group type = Pm-3m (221)
1.0
4.4040 0.0000 0.0000
0.0000 4.4040 0.0000
0.0000 0.0000 4.4040
Mo W F
1 1 3
Cartesian
0.0000 0.0000 0.0000 Mo
2.2020 2.2020 2.2020 W
0.0000 2.2020 2.2020 F
2.2020 0.0000 2.2020 F
2.2020 2.2020 0.0000 F

---

Entry 3:
Mo2WF2 PBE with a Hubbard U relaxed; N(E_F) = 2.40 states/eV per cell; E_tot = -0.172 hartree per atom; excess energy over the best structure of this formula in the dataset = 2.52 eV per formula unit; space-group type = P4/mbm (127)
1.0
7.7094 0.0000 0.0000
0.0000 7.7094 0.0000
0.0000 0.0000 3.0030
Mo W F
4 2 4
Cartesian
1.1616 2.6931 0.0000 Mo
2.6931 6.5478 0.0000 Mo
5.0163 1.1616 0.0000 Mo
6.5478 5.0163 0.0000 Mo
0.0000 0.0000 0.0000 W
3.8547 3.8547 0.0000 W
0.8314 4.6861 1.5015 F
3.0233 0.8314 1.5015 F
4.6861 6.8780 1.5015 F
6.8780 3.0233 1.5015 F

---

Entry 4:
MoW3F PBE with a Hubbard U relaxed; N(E_F) = 1.47 states/eV per cell; E_tot = -0.144 hartree per atom; excess energy over the best structure of this formula in the dataset = 3.00 eV per formula unit; space-group type = Pm-3m (221)
1.0
5.3327 0.0000 0.0000
0.0000 5.3327 0.0000
0.0000 0.0000 5.3327
Mo W F
1 3 1
Cartesian
0.0000 0.0000 0.0000 Mo
0.0000 0.0000 2.6663 W
0.0000 2.6663 0.0000 W
2.6663 0.0000 0.0000 W
2.6663 2.6663 2.6663 F

---

Entry 5:
Mo3WF PBE with a Hubbard U relaxed; N(E_F) = 1.67 states/eV per cell; E_tot = -0.181 hartree per atom; excess energy over the best structure of this formula in the dataset = 0.00 eV per formula unit; space-group type = Pm-3m (221)
1.0
4.7071 0.0000 0.0000
0.0000 4.7071 0.0000
0.0000 0.0000 4.7071
Mo W F
3 1 1
Cartesian
0.0000 0.0000 2.3535 Mo
0.0000 2.3535 0.0000 Mo
2.3535 0.0000 0.0000 Mo
2.3535 2.3535 2.3535 W
0.0000 0.0000 0.0000 F

---

Entry 6:
Y2MoF PBE with a Hubbard U relaxed; N(E_F) = 3.23 states/eV per cell; E_tot = -0.206 hartree per atom; excess energy over the best structure of this formula in the dataset = 2.28 eV per formula unit; space-group type = Fm-3m (225)
1.0
0.0000 3.6413 3.6413
3.6413 0.0000 3.6413
3.6413 3.6413 0.0000
Y Mo F
2 1 1
Cartesian
1.8206 1.8206 1.8206 Y
5.4619 5.4619 5.4619 Y
0.0000 0.0000 0.0000 Mo
3.6413 3.6413 3.6413 F

---

Entry 7:
Y2MoF PBE with a Hubbard U relaxed; N(E_F) = 1.65 states/eV per cell; E_tot = -0.226 hartree per atom; excess energy over the best structure of this formula in the dataset = 0.00 eV per formula unit; space-group type = I-42d (122)
1.0
-3.6102 3.6102 3.7094
3.6102 -3.6102 3.7094
3.6102 3.6102 -3.7094
Y Mo F
4 2 2
Cartesian
5.4153 1.1340 -0.9273 Y
1.1340 1.8051 0.9273 Y
-1.8051 2.4762 2.7820 Y
2.4762 1.8051 4.6367 Y
3.6102 0.0000 1.8547 Mo
0.0000 0.0000 3.7094 Mo
0.0000 0.0000 0.0000 F
0.0000 3.6102 1.8547 F

---

Entry 8:
Y3MoF PBE with a Hubbard U relaxed; N(E_F) = 4.44 states/eV per cell; E_tot = -0.222 hartree per atom; excess energy over the best structure of this formula in the dataset = 0.00 eV per formula unit; space-group type = Pm-3m (221)
1.0
4.8084 0.0000 0.0000
0.0000 4.8084 0.0000
0.0000 0.0000 4.8084
Y Mo F
3 1 1
Cartesian
0.0000 0.0000 2.4042 Y
0.0000 2.4042 0.0000 Y
2.4042 0.0000 0.0000 Y
2.4042 2.4042 2.4042 Mo
0.0000 0.0000 0.0000 F

---

Entry 9:
YMoF6 PBE with a Hubbard U relaxed; N(E_F) = 0.00 states/eV per cell; E_tot = -0.237 hartree per atom; space-group type = P-1 (2)
1.0
5.6698 0.0000 0.0000
2.8194 4.9260 0.0000
2.8211 1.6352 5.0911
Y Mo F
1 1 6
Cartesian
0.0000 0.0000 0.0000 Y
5.6552 3.2806 2.5456 Mo
5.1073 4.8767 3.7924 F
4.0020 3.6112 1.2964 F
4.5499 2.0077 3.7947 F
6.7604 4.5535 1.2964 F
7.3083 2.9500 3.7948 F
6.2030 1.6845 1.2987 F

---

Entry 10:
ZnMoF6 PBE with a Hubbard U relaxed; N(E_F) = 0.00 states/eV per cell; E_tot = -0.180 hartree per atom; space-group type = R-3 (148)
1.0
2.6550 1.5329 4.7492
-2.6550 1.5329 4.7492
0.0000 -3.0657 4.7492
Zn Mo F
1 1 6
Cartesian
0.0000 0.0000 0.0000 Zn
0.0000 0.0000 7.1239 Mo
-1.5961 0.2327 5.9362 F
-0.9996 -1.2660 8.3115 F
0.5966 -1.4986 5.9362 F
-0.5966 1.4986 8.3115 F
0.9996 1.2660 5.9362 F
1.5961 -0.2327 8.3115 F

---

Entry 11:
Zn3MoF PBE with a Hubbard U relaxed; N(E_F) = 2.14 states/eV per cell; E_tot = -0.086 hartree per atom; excess energy over the best structure of this formula in the dataset = 0.00 eV per formula unit; space-group type = Pm-3m (221)
1.0
4.2429 0.0000 0.0000
0.0000 4.2429 0.0000
0.0000 0.0000 4.2429
Zn Mo F
3 1 1
Cartesian
0.0000 0.0000 2.1214 Zn
0.0000 2.1214 0.0000 Zn
2.1214 0.0000 0.0000 Zn
2.1214 2.1214 2.1214 Mo
0.0000 0.0000 0.0000 F

---

Entry 12:
Zn3MoF PBE with a Hubbard U relaxed; N(E_F) = 1.01 states/eV per cell; E_tot = -0.074 hartree per atom; excess energy over the best structure of this formula in the dataset = 1.62 eV per formula unit; space-group type = Pm-3m (221)
1.0
5.3255 0.0000 0.0000
0.0000 5.3255 0.0000
0.0000 0.0000 5.3255
Zn Mo F
3 1 1
Cartesian
0.0000 0.0000 2.6628 Zn
0.0000 2.6628 0.0000 Zn
2.6628 0.0000 0.0000 Zn
0.0000 0.0000 0.0000 Mo
2.6628 2.6628 2.6628 F